# BeCu3Au3

A relaxed structure of BeCu3Au3 (PBE, Alexandria via LeMat-Bulk).

Geometry as POSCAR:
```
BeCu3Au3
1.0
5.6456 0.2282 -0.0015
0.2410 5.6450 -0.0015
0.0001 0.0001 6.6150
Au Cu Be
6 6 2
direct
0.5002 0.9996 0.7684
0.9999 0.9999 0.2271
0.0004 0.4998 0.2316
0.4998 0.0004 0.2316
0.9996 0.5002 0.7684
0.0001 0.0001 0.7729
0.6624 0.3376 0.0000
0.2862 0.7138 0.5000
0.7138 0.2862 0.5000
0.2557 0.2557 0.5005
0.7443 0.7443 0.4995
0.3376 0.6624 0.0000
0.7541 0.7541 0.0005
0.2459 0.2459 0.9995
```

## Properties
* space group: C2/m
* electronic total energy: -3.65 eV per atom
* ΔH_f (0 K): 38 meV/atom
* calculated volume: 105.2 Å³/f.u.